## Cs2SnPCl6 (PBE-GGA)

Data for Cs2SnPCl6 after structural relaxation.

Computed properties:
Formation energy from raw total energies in meV per atom: -1146

Cell: 7.397 7.397 12.214 Å, 90.00 90.00 90.00°
Space group I4/mmm (No. 139)
Inequivalent atoms, fractional coordinates:
Cs 0.000 0.500 0.250 x4
Sn 0.000 0.000 0.000 x2
P 0.000 0.000 0.500 x2
Cl 0.000 0.000 0.225 x4
Cl 0.231 0.231 0.500 x8

## Dy2Er12Sc (PBE-GGA)

Data for Dy2Er12Sc after structural relaxation.

Computed properties:
Formation energy from the elements in meV/atom: 131

Cell: 7.010 10.840 24.322 Å, 90.00 90.44 90.00°
Space group C2/m (No. 12)
Inequivalent atoms, fractional coordinates:
Dy 0.113 0.000 0.274 x4
Dy 0.121 0.500 0.281 x4
Er 0.101 0.000 0.123 x4
Er 0.103 0.500 0.138 x4
Er 0.114 0.269 0.939 x8
Er 0.119 0.000 0.579 x4
Er 0.125 0.257 0.445 x8
Er 0.131 0.253 0.668 x8
Er 0.134 0.500 0.571 x4
Er 0.141 0.244 0.801 x8
Sc 0.239 0.000 0.987 x4

## Hf2TiCd2 (PBE-GGA)

Data for Hf2TiCd2 after structural relaxation.

Computed properties:
Polymorph energy (0 for the lowest one) in meV per atom: 298
Formation energy from the elements in meV/atom: 286

Cell: 7.843 7.843 3.498 Å, 90.00 90.00 90.00°
Space group P4/mbm (No. 127)
Inequivalent atoms, fractional coordinates:
Hf 0.175 0.325 0.000 x4
Ti 0.000 0.000 0.500 x2
Cd 0.127 0.627 0.500 x4

## Ba6NiCl (PBE-GGA)

Data for Ba6NiCl after structural relaxation.

Computed properties:
Formation energy from raw total energies in meV per atom: -441

Cell: 7.9061 7.9061 14.9991 Å, 90.00 90.00 120.00°
Space group P-31c (No. 163)
Inequivalent atoms, fractional coordinates:
Ba 0.0028 0.3241 0.1193 x12
Ni 0.0000 0.0000 0.0000 x2
Cl 0.3333 0.6667 0.7500 x2

## CaZr2Co2 (PBE-GGA)

Data for CaZr2Co2 after structural relaxation.

Computed properties:
Polymorph energy (0 for the lowest one) in meV per atom: 335
Formation energy from the elements in meV/atom: 245

Cell: 4.022 4.022 13.241 Å, 90.00 90.00 90.00°
Space group I4/mmm (No. 139)
Inequivalent atoms, fractional coordinates:
Ca 0.000 0.000 0.000 x2
Zr 0.000 0.000 0.363 x4
Co 0.000 0.500 0.250 x4

## LaGa2Hg (PBE-GGA)

Data for LaGa2Hg after structural relaxation.

Computed properties:
Formation energy from the elements in meV/atom: -412

Cell: 4.636 4.636 4.450 Å, 90.00 90.00 90.00°
Space group P4/mmm (No. 123)
Inequivalent atoms, fractional coordinates:
La 0.000 0.000 0.000 x1
Ga 0.000 0.500 0.500 x2
Hg 0.500 0.500 0.000 x1

## MnCrGa2B (PBE-GGA)

Data for MnCrGa2B after structural relaxation.

Computed properties:
Formation energy from the elements in meV/atom: 546

Cell: 4.174 4.174 3.887 Å, 90.00 90.00 90.00°
Space group P4/mmm (No. 123)
Inequivalent atoms, fractional coordinates:
Mn 0.000 0.000 0.000 x1
Cr 0.500 0.500 0.000 x1
Ga 0.000 0.500 0.500 x2
B 0.000 0.000 0.500 x1

## CrRu2Br (PBE-GGA)

Data for CrRu2Br after structural relaxation.

Computed properties:
Polymorph energy (0 for the lowest one) in meV per atom: 254
Formation energy from raw total energies in meV per atom: 769

Cell: 2.952 4.414 9.013 Å, 90.00 90.00 90.00°
Space group Imm2 (No. 44)
Inequivalent atoms, fractional coordinates:
Cr 0.000 0.000 0.000 x2
Ru 0.000 0.000 0.467 x2
Ru 0.000 0.500 0.236 x2
Br 0.000 0.500 0.732 x2

## BeMoCl4 (PBE-GGA)

Data for BeMoCl4 after structural relaxation.

Computed properties:
Formation energy from raw total energies in meV per atom: 1271

Cell: 8.211 8.211 8.211 Å, 90.00 90.00 90.00°
Space group F-43m (No. 216)
Inequivalent atoms, fractional coordinates:
Be 0.000 0.000 0.000 x4
Mo 0.250 0.250 0.750 x4
Cl 0.125 0.125 0.375 x16

## Pa3Ag3Se8 (PBE-GGA)

Data for Pa3Ag3Se8 after structural relaxation.

Computed properties:
Formation energy from raw total energies in meV per atom: -916

Cell: 8.4876 8.4876 19.3744 Å, 90.00 90.00 120.00°
Space group R-3m (No. 166, hexagonal axes)
Inequivalent atoms, fractional coordinates:
Pa 0.0000 0.5000 0.0000 x9
Ag 0.0000 0.0000 0.1135 x6
Ag 0.0000 0.0000 0.5000 x3
Se 0.0000 0.0000 0.2546 x6
Se 0.0163 0.5081 0.2562 x18

## ZrTaReC2 (PBE-GGA)

Data for ZrTaReC2 after structural relaxation.

Computed properties:
Formation energy from the elements in meV/atom: 1700

Cell: 4.038 4.038 5.247 Å, 90.00 90.00 90.00°
Space group P4/mmm (No. 123)
Inequivalent atoms, fractional coordinates:
Zr 0.000 0.000 0.000 x1
Ta 0.500 0.500 0.000 x1
Re 0.000 0.000 0.500 x1
C 0.000 0.500 0.500 x2

## La2YInOs (PBE-GGA)

Data for La2YInOs after structural relaxation.

Computed properties:
Formation energy from the elements in meV/atom: -173

Cell: 5.514 5.514 5.481 Å, 90.00 90.00 90.00°
Space group P4/mmm (No. 123)
Inequivalent atoms, fractional coordinates:
La 0.000 0.500 0.000 x2
Y 0.000 0.000 0.500 x1
In 0.500 0.500 0.500 x1
Os 0.000 0.000 0.000 x1

## ZrSiSe2 (PBE-GGA)

Data for ZrSiSe2 after structural relaxation.

Computed properties:
Formation energy from raw total energies in meV per atom: 99

Cell: 6.793 6.793 6.793 Å, 90.00 90.00 90.00°
Space group F-43m (No. 216)
Inequivalent atoms, fractional coordinates:
Zr 0.000 0.000 0.000 x4
Si 0.250 0.250 0.250 x4
Se 0.000 0.000 0.500 x4
Se 0.250 0.250 0.750 x4

## CeNd2Si4 (PBE-GGA)

Data for CeNd2Si4 after structural relaxation.

Computed properties:
Formation energy from raw total energies in meV per atom: -726

Cell: 3.956 4.415 17.880 Å, 90.00 90.00 90.00°
Space group Immm (No. 71)
Inequivalent atoms, fractional coordinates:
Ce 0.000 0.000 0.000 x2
Nd 0.000 0.500 0.318 x4
Si 0.000 0.000 0.435 x4
Si 0.000 0.500 0.144 x4

## Pu2VP (PBE-GGA)

Data for Pu2VP after structural relaxation.

Computed properties:
Formation energy from the elements in meV/atom: -129

Cell: 3.486 3.486 5.027 Å, 90.00 90.00 90.00°
Space group P4/mmm (No. 123)
Inequivalent atoms, fractional coordinates:
Pu 0.000 0.500 0.000 x2
V 0.000 0.000 0.500 x1
P 0.500 0.500 0.500 x1

## NdPuCl (PBE-GGA)

Data for NdPuCl after structural relaxation.

Computed properties:
Formation energy from raw total energies in meV per atom: -584

Cell: 5.130 16.285 3.701 Å, 90.00 90.00 90.00°
Space group Cmcm (No. 63)
Inequivalent atoms, fractional coordinates:
Nd 0.000 0.109 0.250 x4
Pu 0.000 0.459 0.250 x4
Cl 0.000 0.294 0.250 x4

## NaZnAg2Pd (PBE-GGA)

Data for NaZnAg2Pd after structural relaxation.

Computed properties:
Formation energy from the elements in meV/atom: 840

Cell: 4.851 4.851 4.753 Å, 90.00 90.00 90.00°
Space group P4/mmm (No. 123)
Inequivalent atoms, fractional coordinates:
Na 0.000 0.000 0.000 x1
Zn 0.500 0.500 0.500 x1
Ag 0.000 0.500 0.000 x2
Pd 0.000 0.000 0.500 x1

## Ca2TaIr (PBE-GGA)

Data for Ca2TaIr after structural relaxation.

Computed properties:
Polymorph energy (0 for the lowest one) in meV per atom: 594
Formation energy from the elements in meV/atom: 503

Cell: 10.306 10.306 4.884 Å, 90.00 90.00 90.00°
Space group I-42d (No. 122)
Inequivalent atoms, fractional coordinates:
Ca 0.105 0.750 0.125 x8
Ta 0.000 0.000 0.500 x4
Ir 0.000 0.000 0.000 x4

## Sc2OsRu (PBE-GGA)

Data for Sc2OsRu after structural relaxation.

Computed properties:
Formation energy from the elements in meV/atom: -382

Cell: 3.171 4.447 9.584 Å, 90.00 90.00 90.00°
Space group Imm2 (No. 44)
Inequivalent atoms, fractional coordinates:
Sc 0.000 0.000 0.000 x2
Sc 0.000 0.500 0.227 x2
Os 0.000 0.500 0.750 x2
Ru 0.000 0.000 0.477 x2

## AcSnH6Ir2 (PBE-GGA)

Data for AcSnH6Ir2 after structural relaxation.

Cell: 8.281 12.380 4.604 Å, 90.00 90.09 90.00°
Space group C2/c (No. 15)
Inequivalent atoms, fractional coordinates:
Ac 0.000 0.171 0.250 x4
Sn 0.000 0.393 0.750 x4
H 0.178 0.000 0.000 x8
H 0.231 0.318 0.470 x8
H 0.232 0.318 0.032 x8
Ir 0.207 0.420 0.250 x8

Q: Which M_tot values were calculated for the entries above? A: 1.0 0.0 1.8 0.0 0.0 0.0 4.3 1.3 1.9 2.0 0.0 0.0 0.0 0.4 0.0 0.0 0.0 1.1 0.0 0.0, in μB/f.u..
Q: Which VASP energy values were calculated for the entries above? A: -3.366 -4.555 -5.640 -2.837 -6.417 -3.233 -5.759 -6.693 -2.386 -5.553 -8.559 -6.230 -5.136 -6.035 -10.927 -7.566 -1.857 -5.676 -8.674 -4.903, in eV/atom.